Record 1
Computed, not measured: K2SrPuO4 after structural relaxation at the GGA-PBE level of DFT.

```
K2SrPuO4
1.0
6.2971 0.0000 0.0000
0.0000 3.6146 0.0000
-2.1434 0.0000 6.2507
K Sr Pu O
2 1 1 4
Cartesian
0.0000 0.0000 0.0000
3.1485 1.8073 0.0000
-1.0717 1.8073 3.1253
2.0768 0.0000 3.1253
0.2449 0.0000 4.2902
1.1696 1.8073 1.9266
2.9840 1.8073 4.3241
3.9088 0.0000 1.9605
```

Summary:
Space-group type = P2/m (10)

Record 2
Computed, not measured: K2PuTa3O12 after structural relaxation at the GGA-PBE level of DFT.

```
K2PuTa3O12
1.0
3.7195 2.1475 6.2803
-3.7195 2.1475 6.2803
0.0000 -4.2949 6.2803
K Pu Ta O
2 1 3 12
Cartesian
0.0000 0.0000 1.8999
0.0000 0.0000 16.9412
0.0000 0.0000 9.4205
-1.8598 -1.0737 6.2803
-1.8598 1.0737 12.5607
0.0000 2.1475 6.2803
-1.4201 -0.8199 8.2557
0.0000 -1.6258 5.9235
-1.4080 0.8129 5.9235
-1.4080 -0.8129 12.9175
0.0000 -1.6398 10.5853
-1.4201 0.8199 10.5853
1.4201 -0.8199 8.2557
0.0000 1.6398 8.2557
1.4080 0.8129 5.9235
1.4080 -0.8129 12.9175
0.0000 1.6258 12.9175
1.4201 0.8199 10.5853
```

Summary:
Space-group type = R-3m (166)

Record 3
Computed, not measured: KPuTaO6 after structural relaxation at the GGA-PBE level of DFT.

```
KPuTaO6
1.0
5.5542 0.0000 0.0000
-2.7771 4.8101 0.0000
0.0000 0.0000 11.7226
K Pu Ta O
2 2 2 12
Cartesian
0.0000 0.0000 0.0000
0.0000 0.0000 5.8613
0.0000 3.2067 2.9306
2.7771 1.6034 8.7919
0.0000 3.2067 8.7919
2.7771 1.6034 2.9306
-1.0287 1.8680 7.7008
-1.6737 2.9852 9.8830
1.0287 1.8680 9.8830
-0.6450 4.7670 7.7008
2.1321 0.0431 1.8395
1.1034 1.8249 4.0217
1.6737 2.9852 7.7008
0.6450 4.7670 9.8830
3.4221 0.0431 4.0217
1.7484 2.9421 1.8395
4.4508 1.8249 1.8395
3.8058 2.9421 4.0217
```

Summary:
Space-group type = P-31c (163)

Record 4
Computed, not measured: K3PuTa2O9 after structural relaxation at the GGA-PBE level of DFT.

```
K3PuTa2O9
1.0
5.8173 0.0000 0.0000
-2.9086 5.0379 0.0000
0.0000 0.0000 7.1456
K Pu Ta O
3 1 2 9
Cartesian
0.0000 0.0000 0.0000
0.0000 3.3586 4.7645
2.9086 1.6793 2.3810
0.0000 0.0000 3.5728
0.0000 3.3586 1.1325
2.9086 1.6793 6.0130
-1.4543 2.5190 0.0000
0.0000 1.7379 2.3151
-1.4036 4.1690 2.3151
1.5050 0.8689 4.8304
2.9086 0.0000 0.0000
1.4543 2.5190 0.0000
1.4036 4.1690 2.3151
4.3122 0.8689 4.8304
2.9086 3.3000 4.8304
```

Summary:
Space-group type = P-3m1 (164)

Record 5
Computed, not measured: K2TbPuO4 after structural relaxation at the GGA-PBE level of DFT.

```
K2TbPuO4
1.0
6.1438 0.0000 0.0000
0.0000 3.5457 0.0000
-2.0509 0.0000 6.2669
K Tb Pu O
2 1 1 4
Cartesian
0.0000 0.0000 0.0000
3.0719 1.7728 0.0000
-1.0254 1.7728 3.1335
2.0465 0.0000 3.1335
-0.0289 0.0000 4.3086
1.0082 1.7728 1.9657
3.0847 1.7728 4.3012
4.1219 0.0000 1.9583
```

Summary:
Space-group type = P2/m (10)

Record 6
Computed, not measured: K2TbPuO6 after structural relaxation at the GGA-PBE level of DFT.

```
K2TbPuO6
1.0
0.0000 4.2990 4.2990
4.2990 0.0000 4.2990
4.2990 4.2990 0.0000
K Tb Pu O
2 1 1 6
Cartesian
2.1495 2.1495 2.1495
6.4486 6.4486 6.4486
0.0000 0.0000 0.0000
4.2990 4.2990 4.2990
4.2990 4.2990 2.2765
4.2990 2.2765 4.2990
6.3216 4.2990 4.2990
2.2765 4.2990 4.2990
4.2990 6.3216 4.2990
4.2990 4.2990 6.3216
```

Summary:
Space-group type = Fm-3m (225)

Record 7
Computed, not measured: KTb2PuO8 after structural relaxation at the GGA-PBE level of DFT.

```
KTb2PuO8
1.0
4.4129 0.0000 0.0000
-0.2751 5.2457 0.0000
-0.4407 -0.2502 7.8782
K Tb Pu O
1 2 1 8
Cartesian
0.0000 0.0000 0.0000
1.4548 2.3113 5.6878
2.2424 2.6842 2.1904
-0.2203 -0.1251 3.9391
0.0331 3.6462 2.4817
0.2415 4.2442 5.5111
1.3216 1.1587 3.7318
1.9279 1.8756 0.0109
1.7693 3.1198 7.8673
2.3755 3.8368 4.1463
3.4557 0.7513 2.3670
3.6640 1.3493 5.3965
```

Summary:
Space-group type = P-1 (2)

Record 8
Computed, not measured: K3Tb3PuO8 after structural relaxation at the GGA-PBE level of DFT.

```
K3Tb3PuO8
1.0
3.4974 2.0192 6.3364
-3.4974 2.0192 6.3364
0.0000 -4.0384 6.3364
K Tb Pu O
3 3 1 8
Cartesian
-1.7487 -1.0096 6.3364
-1.7487 1.0096 12.6728
0.0000 2.0192 6.3364
-3.4974 0.0000 9.5046
-1.7487 1.0096 3.1682
1.7487 1.0096 3.1682
0.0000 0.0000 9.5046
0.0000 0.0000 4.3173
-1.6857 -0.9732 10.6165
0.0000 -1.9465 8.3927
-1.6857 0.9732 8.3927
1.6857 -0.9732 10.6165
0.0000 1.9465 10.6165
1.6857 0.9732 8.3927
0.0000 0.0000 14.6919
```

Summary:
Space-group type = R-3m (166)

Record 9
Computed, not measured: K3TbPu2O9 after structural relaxation at the GGA-PBE level of DFT.

```
K3TbPu2O9
1.0
6.0652 0.0000 0.0000
-3.0326 5.2526 0.0000
0.0000 0.0000 7.4407
K Tb Pu O
3 1 2 9
Cartesian
0.0000 0.0000 0.0000
0.0000 3.5018 4.9248
3.0326 1.7509 2.5159
0.0000 0.0000 3.7203
0.0000 3.5018 1.2220
3.0326 1.7509 6.2187
-1.5163 2.6263 0.0000
0.0000 1.8425 2.3862
-1.4370 4.3314 2.3862
1.5956 0.9212 5.0545
3.0326 0.0000 0.0000
1.5163 2.6263 0.0000
1.4370 4.3314 2.3862
4.4696 0.9212 5.0545
3.0326 3.4102 5.0545
```

Summary:
Space-group type = P-3m1 (164)

Record 10
Computed, not measured: K2PuTcO6 after structural relaxation at the GGA-PBE level of DFT.

```
K2PuTcO6
1.0
5.8109 0.0000 0.0000
0.0000 5.8109 0.0000
0.0000 0.0000 4.3107
K Pu Tc O
2 1 1 6
Cartesian
0.0000 2.9055 0.0000
2.9055 0.0000 0.0000
0.0000 0.0000 2.1064
2.9055 2.9055 2.3210
0.0000 0.0000 4.2262
1.5465 1.5465 2.0573
1.5465 4.2645 2.0573
2.9055 2.9055 4.1234
4.2645 1.5465 2.0573
4.2645 4.2645 2.0573
```

Summary:
Space-group type = P4mm (99)

Record 11
Computed, not measured: K2Pu3TcO12 after structural relaxation at the GGA-PBE level of DFT.

```
K2Pu3TcO12
1.0
3.8944 2.2484 6.0974
-3.8944 2.2484 6.0974
0.0000 -4.4969 6.0974
K Pu Tc O
2 3 1 12
Cartesian
0.0000 0.0000 2.6861
0.0000 0.0000 15.6062
-1.9472 -1.1242 6.0974
-1.9472 1.1242 12.1949
0.0000 2.2484 6.0974
0.0000 0.0000 9.1461
0.0000 -1.7072 5.5694
-1.4784 0.8536 5.5694
-1.3995 -0.8080 8.0669
0.0000 -1.6160 10.2254
-1.3995 0.8080 10.2254
-1.4785 -0.8536 12.7229
1.4784 0.8536 5.5694
1.3995 -0.8080 8.0669
0.0000 1.6160 8.0669
1.3995 0.8080 10.2254
1.4785 -0.8536 12.7229
0.0000 1.7072 12.7229
```

Summary:
Space-group type = R-3m (166)

Record 12
Computed, not measured: KPuTe2O8 after structural relaxation at the GGA-PBE level of DFT.

```
KPuTe2O8
1.0
6.2410 0.0000 0.0000
-3.1205 5.4049 0.0000
0.0000 0.0000 7.5181
K Pu Te O
1 1 2 8
Cartesian
0.0000 0.0000 0.0000
0.0000 0.0000 3.7590
0.0000 3.6032 5.0629
3.1205 1.8016 2.4552
-0.5665 1.5582 4.9255
-1.4878 5.1164 4.9255
1.0662 1.2697 2.5926
0.0000 3.6032 6.8699
3.1205 1.8016 0.6482
2.0543 4.1351 4.9255
4.6083 0.2885 2.5926
3.6870 3.8466 2.5926
```

Summary:
Space-group type = P-3 (147)

Record 13
Computed, not measured: KPuTeO5 after structural relaxation at the GGA-PBE level of DFT.

```
KPuTeO5
1.0
3.6363 -4.9676 0.0000
3.6363 4.9676 0.0000
-2.0215 0.0000 7.7248
K Pu Te O
2 2 2 10
Cartesian
2.1202 3.2473 5.7936
3.1309 -3.2473 1.9312
3.6363 0.0000 0.0000
2.6255 0.0000 3.8624
3.1309 3.3337 1.9312
2.1202 -3.3337 5.7936
-0.2374 0.8062 7.4091
2.0788 2.1145 2.9281
0.7734 -0.8062 3.5467
4.1830 2.1145 0.9343
2.1202 0.6272 5.7936
3.1309 -0.6272 1.9312
1.0681 -2.1145 6.7905
4.4777 0.8062 4.1781
3.1723 -2.1145 4.7967
5.4885 -0.8062 0.3157
```

Summary:
Space-group type = C2/c (15)

Record 14
Computed, not measured: KPu2TeO8 after structural relaxation at the GGA-PBE level of DFT.

```
KPu2TeO8
1.0
5.1462 0.0000 0.0000
0.0000 6.9661 0.0000
-0.2098 0.0000 5.1515
K Pu Te O
1 2 1 8
Cartesian
0.0000 0.0000 0.0000
2.4682 1.7597 2.5758
2.4682 5.2064 2.5758
0.0000 3.4830 0.0000
1.0804 1.9943 1.1135
1.0804 4.9718 1.1135
1.3969 3.4830 3.5933
1.5929 0.0000 3.4026
3.3435 0.0000 1.7490
3.5395 3.4830 1.5582
3.8560 1.9943 4.0380
3.8560 4.9718 4.0380
```

Summary:
Space-group type = P2/m (10)

Record 15
Computed, not measured: K3Pu2ThO9 after structural relaxation at the GGA-PBE level of DFT.

```
K3Pu2ThO9
1.0
6.1454 0.0000 0.0000
-3.0727 5.3221 0.0000
0.0000 0.0000 7.5470
K Pu Th O
3 2 1 9
Cartesian
0.0000 0.0000 0.0000
0.0000 3.5481 5.0456
3.0727 1.7740 2.5014
0.0000 3.5481 1.2055
3.0727 1.7740 6.3414
0.0000 0.0000 3.7735
-1.5364 2.6611 0.0000
0.0000 1.8563 2.4187
-1.4651 4.3940 2.4187
1.6076 0.9282 5.1283
3.0727 0.0000 0.0000
1.5364 2.6611 0.0000
1.4651 4.3940 2.4187
4.5378 0.9282 5.1283
3.0727 3.4658 5.1283
```

Summary:
Space-group type = P-3m1 (164)

Record 16
Computed, not measured: K2Pu3TiO12 after structural relaxation at the GGA-PBE level of DFT.

```
K2Pu3TiO12
1.0
3.9030 2.2534 5.9486
-3.9030 2.2534 5.9486
0.0000 -4.5068 5.9486
K Pu Ti O
2 3 1 12
Cartesian
0.0000 0.0000 2.6484
0.0000 0.0000 15.1976
-1.9515 -1.1267 5.9486
-1.9515 1.1267 11.8973
0.0000 2.2534 5.9486
0.0000 0.0000 8.9230
0.0000 -1.7002 5.4064
-1.4725 0.8501 5.4064
-1.4209 -0.8204 7.8405
0.0000 -1.6407 10.0054
-1.4209 0.8204 10.0054
-1.4725 -0.8501 12.4395
1.4725 0.8501 5.4064
1.4209 -0.8204 7.8405
0.0000 1.6407 7.8405
1.4209 0.8204 10.0054
1.4725 -0.8501 12.4395
0.0000 1.7002 12.4395
```

Summary:
Space-group type = R-3m (166)

Record 17
Computed, not measured: KPu2TiO8 after structural relaxation at the GGA-PBE level of DFT.

```
KPu2TiO8
1.0
3.6168 -3.4109 0.0000
3.6168 3.4109 0.0000
-0.2589 0.0000 6.9272
K Pu Ti O
1 2 1 8
Cartesian
0.0000 0.0000 0.0000
3.3589 0.0000 5.1314
3.6157 0.0000 1.7957
-0.1294 0.0000 3.4636
3.5090 2.0174 2.0869
3.4656 2.0174 4.8403
1.9989 0.0000 3.5074
2.4385 0.0000 0.1616
4.5362 0.0000 6.7656
4.9757 0.0000 3.4198
3.5090 -2.0174 2.0869
3.4656 -2.0174 4.8403
```

Summary:
Space-group type = C2/m (12)

Record 18
Computed, not measured: K3PuTi2O8 after structural relaxation at the GGA-PBE level of DFT.

```
K3PuTi2O8
1.0
6.0367 0.0000 0.0000
-3.0183 5.2279 0.0000
0.0000 0.0000 7.6879
K Pu Ti O
3 1 2 8
Cartesian
0.0000 0.0000 0.0000
0.0000 3.4853 5.3365
3.0183 1.7426 2.3514
0.0000 0.0000 3.8439
0.0000 3.4853 1.8999
3.0183 1.7426 5.7880
0.0000 1.7313 2.5836
-1.5190 4.3622 2.5836
1.4994 0.8657 5.1043
0.0000 3.4853 0.1875
3.0183 1.7426 7.5004
1.5190 4.3622 2.5836
4.5373 0.8657 5.1043
3.0183 3.4966 5.1043
```

Summary:
Space-group type = P-3m1 (164)

no.,total magnetization (μB per formula unit),formation energy without anion corrections (kJ per mole of atoms)
1,4.000,-230
2,0.930,-250
3,2.000,-246
4,3.000,-251
5,5.000,-246
6,1.000,-247
7,0.945,-243
8,4.000,-270
9,4.000,-247
10,4.939,-197
11,9.001,-218
12,1.050,-143
13,3.000,-183
14,4.999,-195
15,5.000,-258
16,6.000,-241
17,5.000,-242
18,3.000,-249